VASP calculation (GGA-PBE) on a relaxed CaSbPdO6 crystal.

a = 5.287 Å, b = 5.287 Å, c = 10.090 Å
α = 90.00°, β = 90.00°, γ = 120.00°
Each line ends with the local moment (μB).
Element x y z (fractional)
O1 0.637 0.636 0.141  0.11
Pd1 0.333 0.667 0.750  0.23
O2 0.636 0.999 0.859  0.11
O3 0.001 0.637 0.859  0.11
Ca1 0.000 0.000 0.000  0.00
Pd2 0.667 0.333 0.250  0.23
O4 0.636 0.637 0.641  0.11
O5 0.363 0.364 0.859  0.11
O6 0.363 0.999 0.641  0.11
Ca2 0.000 0.000 0.500  0.00
O7 0.001 0.364 0.641  0.11
O8 0.999 0.363 0.141  0.11
O9 0.999 0.636 0.359  0.11
O10 0.637 0.001 0.359  0.11
Sb1 0.667 0.333 0.750  -0.01
O11 0.364 0.001 0.141  0.11
O12 0.364 0.363 0.359  0.11
Sb2 0.333 0.667 0.250  -0.01

Values from the calculation:
The total energy is -5.916 eV per atom.



VASP calculation (GGA-PBE) on a relaxed BaHoOs2O8 crystal.

a = 5.937 Å, b = 5.937 Å, c = 7.576 Å
α = 90.00°, β = 90.00°, γ = 120.00°
Each line ends with the local moment (μB).
Element x y z (fractional)
O1 0.667 0.333 0.992  0.16
O2 0.837 0.673 0.306  0.11
O3 0.163 0.327 0.694  0.11
Os1 0.333 0.667 0.770  0.86
Os2 0.667 0.333 0.230  0.86
O4 0.836 0.163 0.306  0.11
O5 0.164 0.837 0.694  0.11
Ho1 0.000 0.000 0.500  0.03
O6 0.673 0.836 0.694  0.11
O7 0.333 0.667 0.008  0.16
Ba1 0.000 0.000 0.000  0.01
O8 0.327 0.164 0.306  0.11

Values from the calculation:
The total energy is -7.398 eV per atom.



VASP calculation (GGA-PBE) on a relaxed LaPm2PrSe4 crystal.

a = 4.204 Å, b = 7.388 Å, c = 7.358 Å
α = 70.97°, β = 90.00°, γ = 90.00°
Element x y z (fractional)
Se1 0.500 0.757 0.248
Se2 0.000 0.757 0.747
Pr1 0.000 0.500 0.500
Se3 0.500 0.243 0.752
La1 0.500 0.500 0.000
Se4 0.000 0.243 0.253
Pm1 0.000 0.000 0.000
Pm2 0.500 0.000 0.500

Values from the calculation:
The total energy is -6.023 eV per atom.



VASP calculation (GGA-PBE) on a relaxed K5HgBr8 crystal.

a = 8.687 Å, b = 8.687 Å, c = 8.687 Å
α = 112.23°, β = 104.09°, γ = 112.23°
Each line ends with the local moment (μB).
Element x y z (fractional)
Br1 0.672 0.411 0.892  0.13
K1 0.849 0.867 0.251  0.00
Br2 0.570 0.824 0.851  0.07
K2 0.500 0.000 0.500  0.00
Br3 0.108 0.780 0.519  0.13
Hg1 0.250 0.500 0.750  0.02
Br4 0.027 0.176 0.746  0.07
K3 0.383 0.133 0.982  0.00
K4 0.018 0.401 0.151  0.00
Br5 0.739 0.220 0.328  0.13
Br6 0.149 0.719 0.973  0.07
K5 0.749 0.599 0.617  0.00
Br7 0.481 0.589 0.261  0.13
Br8 0.254 0.281 0.430  0.07

Values from the calculation:
The energy above the most stable polymorph in this dataset comes out at 0 meV/atom. The total energy is -2.625 eV per atom.



VASP calculation (GGA-PBE) on a relaxed Nd7Ho3Sc crystal.

a = 5.831 Å, b = 8.548 Å, c = 8.548 Å
α = 83.62°, β = 109.97°, γ = 109.97°
Element x y z (fractional)
Nd1 0.785 0.786 0.786
Nd2 0.311 0.024 0.597
Nd3 0.311 0.597 0.024
Nd4 0.000 0.500 0.500
Nd5 0.215 0.214 0.214
Nd6 0.689 0.976 0.403
Sc1 0.500 0.500 0.500
Ho1 0.500 0.000 0.000
Nd7 0.689 0.403 0.976
Ho2 0.000 0.797 0.203
Ho3 0.000 0.203 0.797

Values from the calculation:
The energy above the most stable polymorph in this dataset comes out at 168 meV/atom. The total energy is -4.634 eV per atom.



VASP calculation (GGA-PBE) on a relaxed YCu3Tc crystal.

a = 4.883 Å, b = 4.883 Å, c = 4.883 Å
α = 90.00°, β = 90.00°, γ = 90.00°
Each line ends with the local moment (μB).
Element x y z (fractional)
Cu1 0.000 0.000 0.500  0.05
Cu2 0.000 0.500 0.000  0.01
Cu3 0.500 0.000 0.000  0.00
Y1 0.000 0.000 0.000  -0.05
Tc1 0.500 0.500 0.500  3.39

Values from the calculation:
The energy above the most stable polymorph in this dataset comes out at 1136 meV/atom. The total energy is -4.061 eV per atom.



Q: Number 1 is which compound?
A: CaSbPdO6